This record from Alexandria via LeMat-Bulk describes an optimized crystal structure of BaIrRh2. The functional is PBE-GGA.

Cell lengths 4.8046, 4.8046, 4.8046 Å; angles 60.00, 60.00, 60.00 degrees
Last column: nearest neighbours and their distance in Å.
Atoms (fractional coordinates):
Rh (0.7500, 0.7500, 0.7500)  4 Ba 2.94, 4 Rh 2.94
Ir (0.2500, 0.2500, 0.2500)  4 Rh 2.94, 4 Ba 2.94
Rh (0.0000, 0.0000, 0.0000)  4 Rh 2.94, 4 Ir 2.94
Ba (0.5000, 0.5000, 0.5000)  4 Ir 2.94, 4 Rh 2.94

Summary:
For the energy relative to the elements, the calculation gives 0.7271 eV/atom. Its distance to the lowest polymorph of the same formula is 748.9 meV/atom.